Compound: Li4MoO5
Source: Alexandria
Functional: PBE with a Hubbard U
Structure: relaxed

Lattice parameters (Å, degrees): 5.133 5.178 7.814 108.43 101.80 101.40
Positions (direct):
Li (0.000, 0.000, 0.000)
Li (0.077, 0.194, 0.702)
Li (0.194, 0.386, 0.390)
Li (0.282, 0.597, 0.097)
Li (0.500, 0.000, 0.500)
Li (0.718, 0.403, 0.903)
Li (0.806, 0.614, 0.610)
Li (0.923, 0.806, 0.298)
Mo (0.393, 0.779, 0.782)
Mo (0.607, 0.221, 0.218)
O (0.074, 0.609, 0.845)
O (0.167, 0.812, 0.573)
O (0.278, 0.011, 0.249)
O (0.368, 0.176, 0.958)
O (0.449, 0.432, 0.664)
O (0.551, 0.568, 0.336)
O (0.632, 0.824, 0.042)
O (0.722, 0.989, 0.751)
O (0.833, 0.188, 0.427)
O (0.926, 0.391, 0.155)

Properties
M_tot   0.00 μB/cell
Space group   No. 2
Calculated density   3.66 Mg/m³
DOS(E_F)   0.0 states/eV per cell
Polymorph energy (0 for the lowest one)   0.0000 eV per atom